w | DFT (PBE-GGA) results for a relaxed structure of CeNpSe2.

Lattice parameters (Å, degrees): 7.764 7.764 7.764 29.90 29.90 29.90
Sites, in units of the cell vectors:
Ce (0.000, 0.000, 0.000)
Np (0.173, 0.173, 0.173)
Se (0.420, 0.420, 0.420)
Se (0.585, 0.585, 0.585)

x | DFT (PBE-GGA) results for a relaxed structure of CeNpSe2.

Lattice parameters (Å, degrees): 7.137 7.137 7.137 33.90 33.90 33.90
Sites, in units of the cell vectors:
Ce (0.000, 0.000, 0.000)
Np (0.500, 0.500, 0.500)
Se (0.247, 0.247, 0.247)
Se (0.753, 0.753, 0.753)

Which structure loses on stability? w does.

w | DFT (PBE-GGA) results for a relaxed structure of Ce2NpSe4.

Lattice parameters (Å, degrees): 7.653 7.653 7.653 109.42 109.42 109.58
Sites, in units of the cell vectors:
Ce (0.001, 0.625, 0.876)
Ce (0.375, 0.251, 0.376)
Ce (0.749, 0.125, 0.124)
Ce (0.875, 0.999, 0.624)
Np (0.250, 0.750, 0.500)
Np (0.500, 0.500, 0.000)
Se (0.128, 0.379, 0.101)
Se (0.129, 0.378, 0.601)
Se (0.278, 0.028, 0.899)
Se (0.472, 0.871, 0.250)
Se (0.621, 0.722, 0.750)
Se (0.622, 0.222, 0.750)
Se (0.778, 0.528, 0.399)
Se (0.972, 0.872, 0.250)

x | DFT (PBE-GGA) results for a relaxed structure of Ce2NpSe4.

Lattice parameters (Å, degrees): 7.242 7.242 13.864 90.00 90.00 147.16
Sites, in units of the cell vectors:
Ce (0.133, 0.867, 0.570)
Ce (0.133, 0.867, 0.930)
Ce (0.867, 0.133, 0.070)
Ce (0.867, 0.133, 0.430)
Np (0.378, 0.622, 0.750)
Np (0.622, 0.378, 0.250)
Se (0.027, 0.973, 0.750)
Se (0.223, 0.777, 0.127)
Se (0.223, 0.777, 0.373)
Se (0.500, 0.500, 0.000)
Se (0.500, 0.500, 0.500)
Se (0.777, 0.223, 0.627)
Se (0.777, 0.223, 0.873)
Se (0.973, 0.027, 0.250)

Which structure loses on stability? x does.

w | DFT (PBE-GGA) results for a relaxed structure of CeNpTc.

Lattice parameters (Å, degrees): 5.733 5.733 5.733 145.47 145.47 49.64
Sites, in units of the cell vectors:
Ce (0.000, 0.000, 0.000)
Np (0.332, 0.332, 0.000)
Tc (0.682, 0.682, 0.000)

x | DFT (PBE-GGA) results for a relaxed structure of CeNpTc.

Lattice parameters (Å, degrees): 4.783 4.783 2.755 90.00 90.00 120.00
Sites, in units of the cell vectors:
Ce (0.000, 0.000, 0.000)
Np (0.333, 0.667, 0.010)
Tc (0.667, 0.333, 0.373)

y | DFT (PBE-GGA) results for a relaxed structure of CeNpTc.

Lattice parameters (Å, degrees): 5.550 5.550 6.185 120.11 120.11 48.99
Sites, in units of the cell vectors:
Ce (0.170, 0.170, 0.073)
Ce (0.830, 0.830, 0.927)
Np (0.493, 0.493, 0.707)
Np (0.507, 0.507, 0.293)
Tc (0.160, 0.160, 0.552)
Tc (0.840, 0.840, 0.448)

Which structure loses on stability? x does.

w | DFT (PBE-GGA) results for a relaxed structure of CeZr2Np.

Lattice parameters (Å, degrees): 3.085 3.085 10.108 90.00 90.00 90.00
Sites, in units of the cell vectors:
Ce (0.000, 0.000, 0.000)
Zr (0.500, 0.500, 0.260)
Zr (0.500, 0.500, 0.740)
Np (0.000, 0.000, 0.500)

x | DFT (PBE-GGA) results for a relaxed structure of CeZr2Np.

Lattice parameters (Å, degrees): 11.070 11.070 11.070 16.63 16.63 16.63
Sites, in units of the cell vectors:
Ce (0.000, 0.000, 0.000)
Zr (0.247, 0.247, 0.247)
Zr (0.753, 0.753, 0.753)
Np (0.500, 0.500, 0.500)

Which structure loses on stability? x does.

w | DFT (PBE-GGA) results for a relaxed structure of CeO.

Lattice parameters (Å, degrees): 3.523 3.523 3.523 60.00 60.00 60.00
Sites, in units of the cell vectors:
Ce (0.000, 0.000, 0.000)
O (0.500, 0.500, 0.500)

x | DFT (PBE-GGA) results for a relaxed structure of CeO.

Lattice parameters (Å, degrees): 3.512 3.512 5.939 90.00 90.00 120.00
Sites, in units of the cell vectors:
Ce (0.333, 0.667, 0.250)
Ce (0.667, 0.333, 0.750)
O (0.000, 0.000, 0.000)
O (0.000, 0.000, 0.500)

Which structure loses on stability? x does.

w | DFT (PBE-GGA) results for a relaxed structure of Ce3O4.

Lattice parameters (Å, degrees): 4.863 4.863 4.863 90.00 90.00 90.00
Sites, in units of the cell vectors:
Ce (0.000, 0.000, 0.500)
Ce (0.000, 0.500, 0.000)
Ce (0.500, 0.000, 0.000)
O (0.000, 0.000, 0.000)
O (0.000, 0.500, 0.500)
O (0.500, 0.000, 0.500)
O (0.500, 0.500, 0.000)

x | DFT (PBE-GGA) results for a relaxed structure of Ce3O4.

Lattice parameters (Å, degrees): 6.395 6.395 6.395 109.47 109.47 109.47
Sites, in units of the cell vectors:
Ce (0.125, 0.750, 0.875)
Ce (0.250, 0.625, 0.375)
Ce (0.375, 0.250, 0.625)
Ce (0.625, 0.375, 0.250)
Ce (0.750, 0.875, 0.125)
Ce (0.875, 0.125, 0.750)
O (0.000, 0.353, 0.500)
O (0.000, 0.853, 0.500)
O (0.147, 0.147, 0.147)
O (0.353, 0.500, 0.000)
O (0.500, 0.000, 0.353)
O (0.500, 0.000, 0.853)
O (0.647, 0.647, 0.647)
O (0.853, 0.500, 0.000)

Which structure loses on stability? w does.